First-principles (PBE) data for crystalline YMgBr at its relaxed geometry, as listed in Alexandria.

a = 7.9421 Å, b = 7.6183 Å, c = 3.5252 Å
α = 82.09°, β = 71.83°, γ = 26.08°
Positions (direct):
1 Mg 0.6674 0.6674 0.3326
2 Y 0.3400 0.3400 0.6600
3 Br 0.9926 0.9926 0.0074

Properties
Energy in eV/cell: -11.4
SG: Fmm2
ρ in g/cm³: 3.8


First-principles (PBE) data for crystalline Y2MgBr at its relaxed geometry, as listed in Alexandria.

a = 6.5811 Å, b = 6.5811 Å, c = 6.5811 Å
α = 140.76°, β = 140.76°, γ = 56.70°
Positions (direct):
1 Mg 0.7500 0.2500 0.5000
2 Y 0.0000 0.0000 0.0000
3 Br 0.5000 0.5000 0.0000
4 Y 0.2500 0.7500 0.5000

Properties
Distance to the lowest polymorph of the same formula in meV per atom: 348
SG: I-4m2
ρ in g/cm³: 4.1


First-principles (PBE) data for crystalline YMgBr2 at its relaxed geometry, as listed in Alexandria.

a = 5.2380 Å, b = 5.2380 Å, c = 5.2380 Å
α = 60.00°, β = 60.00°, γ = 60.00°
Each line ends with the local moment (μB).
Positions (direct):
1 Mg 0.0000 0.0000 0.0000  0.00
2 Br 0.2500 0.2500 0.2500  0.00
3 Y 0.5000 0.5000 0.5000  0.47
4 Br 0.7500 0.7500 0.7500  0.00

Properties
Distance to the lowest polymorph of the same formula in meV per atom: 363
SG: Fm-3m
ρ in g/cm³: 4.5


First-principles (PBE) data for crystalline YMgBr2 at its relaxed geometry, as listed in Alexandria.

a = 6.0390 Å, b = 6.0390 Å, c = 3.6939 Å
α = 70.17°, β = 70.17°, γ = 103.71°
Positions (direct):
1 Br 0.5000 0.5000 0.0000
2 Br 0.0000 0.0000 0.0000
3 Mg 0.5000 0.0000 0.5000
4 Y 0.0000 0.5000 0.5000

Properties
Distance to the lowest polymorph of the same formula in meV per atom: 220
SG: C2/m
ρ in g/cm³: 4.1


First-principles (PBE) data for crystalline Y2MgBr at its relaxed geometry, as listed in Alexandria.

a = 3.5349 Å, b = 3.5349 Å, c = 8.6572 Å
α = 90.00°, β = 90.00°, γ = 90.00°
Positions (direct):
1 Y 0.0000 0.0000 0.5109
2 Y 0.0000 0.0000 0.9891
3 Br 0.5000 0.5000 0.2500
4 Mg 0.5000 0.5000 0.7500

Properties
Distance to the lowest polymorph of the same formula in meV per atom: 111
SG: P4/mmm
ρ in g/cm³: 4.3


First-principles (PBE) data for crystalline YMgBr at its relaxed geometry, as listed in Alexandria.

a = 3.6379 Å, b = 3.6374 Å, c = 15.6178 Å
α = 90.00°, β = 90.00°, γ = 120.00°
Each line ends with the local moment (μB).
Positions (direct):
1 Y 0.6664 0.3328 0.6695  0.15
2 Br 0.3330 0.6661 0.1995  0.00
3 Mg 0.3330 0.6660 0.5000  0.00
4 Y 0.6664 0.3328 0.3305  0.15
5 Mg 0.3347 0.6695 0.0000  0.00
6 Br 0.3330 0.6661 0.8005  0.00

Properties
Energy in eV/cell: -23.3
SG: Amm2
ρ in g/cm³: 3.6


First-principles (PBE) data for crystalline YMgBr2 at its relaxed geometry, as listed in Alexandria.

a = 9.6237 Å, b = 9.6237 Å, c = 9.6237 Å
α = 22.55°, β = 22.55°, γ = 22.55°
Positions (direct):
1 Br 0.8900 0.8900 0.8900
2 Mg 0.5000 0.5000 0.5000
3 Y 0.0000 0.0000 0.0000
4 Br 0.1100 0.1100 0.1100

Properties
Distance to the lowest polymorph of the same formula in meV per atom: 264
SG: R-3m
ρ in g/cm³: 3.9


First-principles (PBE) data for crystalline YMgBr2 at its relaxed geometry, as listed in Alexandria.

a = 3.7957 Å, b = 3.8291 Å, c = 8.8756 Å
α = 77.54°, β = 90.00°, γ = 90.00°
Each line ends with the local moment (μB).
Positions (direct):
1 Br 0.5000 0.1401 0.3461  0.02
2 Mg 0.0000 0.5676 0.4870  0.01
3 Br 0.0000 0.8377 0.9528  0.01
4 Y 0.5000 0.9547 0.7141  0.30

Properties
Distance to the lowest polymorph of the same formula in meV per atom: 38
SG: Pm
ρ in g/cm³: 3.6


First-principles (PBE) data for crystalline Y2MgBr at its relaxed geometry, as listed in Alexandria.

a = 3.5429 Å, b = 3.5429 Å, c = 10.0484 Å
α = 90.00°, β = 90.00°, γ = 111.13°
Positions (direct):
1 Br 0.0000 0.0000 0.4850
2 Y 0.0000 0.0000 0.0002
3 Mg 0.5000 0.5000 0.7465
4 Y 0.5000 0.5000 0.2683

Properties
Distance to the lowest polymorph of the same formula in meV per atom: 88
SG: Cmm2
ρ in g/cm³: 4.0


First-principles (PBE) data for crystalline Y2MgBr at its relaxed geometry, as listed in Alexandria.

a = 3.6438 Å, b = 3.7621 Å, c = 8.6089 Å
α = 89.97°, β = 90.00°, γ = 90.00°
Positions (direct):
1 Y 0.0000 0.2501 0.5273
2 Mg 0.5000 0.7500 0.7500
3 Br 0.5000 0.2500 0.2500
4 Y 0.0000 0.2499 0.9727

Properties
Distance to the lowest polymorph of the same formula in meV per atom: 24
SG: Pmmm
ρ in g/cm³: 4.0


First-principles (PBE) data for crystalline Y2MgBr at its relaxed geometry, as listed in Alexandria.

a = 3.4877 Å, b = 3.4877 Å, c = 9.9821 Å
α = 90.00°, β = 90.00°, γ = 112.57°
Positions (direct):
1 Y 0.0000 0.0000 0.4895
2 Y 0.0000 0.0000 0.0105
3 Br 0.5000 0.5000 0.2500
4 Mg 0.5000 0.5000 0.7500

Properties
Distance to the lowest polymorph of the same formula in meV per atom: 121
SG: Cmmm
ρ in g/cm³: 4.2


First-principles (PBE) data for crystalline Y2MgBr at its relaxed geometry, as listed in Alexandria.

a = 9.8693 Å, b = 9.8693 Å, c = 9.8693 Å
α = 21.30°, β = 21.30°, γ = 21.30°
Positions (direct):
1 Mg 0.7500 0.7500 0.7500
2 Br 0.2500 0.2500 0.2500
3 Y 0.9973 0.9973 0.9973
4 Y 0.5027 0.5027 0.5027

Properties
Distance to the lowest polymorph of the same formula in meV per atom: 0
SG: R-3m
ρ in g/cm³: 4.2